The following is a DFT calculation (PBE-GGA) of NpCu4Bi after structural relaxation.

Output
ρ in kg/m³: 11185
E_form in kJ/mol of formula units: 99
Energy in eV/cell: -32.18
Total magnetic moment in μB/f.u.: 4.529
Symmetry: F-43m (216)

extended XYZ file:
```
6
Lattice="0.000 3.732 3.732 3.732 0.000 3.732 3.732 3.732 0.000" Properties=species:S:1:pos:R:3 pbc="T T T"
Np 0.000 0.000 0.000
Cu 2.790 2.790 2.790
Cu 4.674 4.674 2.790
Cu 4.674 2.790 4.674
Cu 2.790 4.674 4.674
Bi 5.598 5.598 5.598
```